# Mn2AsO

A relaxed Mn2AsO crystal (PBE with a Hubbard U, Alexandria).

a = 4.424 Å, b = 4.424 Å, c = 4.424 Å
α = 60.00°, β = 60.00°, γ = 60.00°
Atoms (fractional coordinates):
1 Mn 0.250 0.250 0.250
2 Mn 0.750 0.750 0.750
3 As 0.000 0.000 0.000
4 O 0.500 0.500 0.500

E_tot = -24.9 eV per cell